Record 1
Material: K3BP3H3O12
Method: DFT, SCAN
State: single point on PBEsol structure

Values from the calculation:
Total magnetization = 0.00 Bohr magnetons per cell
E = -793.5 eV per cell
Space-group type = No. 15
Volume = 1142.1 Å³/cell

Cell: 7.4563 13.3321 13.6704 Å, 62.65 74.17 73.76°
With the nearest neighbours (Å) after each atom.
Sites, in units of the cell vectors:
K  0.2711  0.0518  0.4037  6 O 2.68-2.89, 1 H 2.87
K  0.7267  0.4482  0.0963  6 O 2.68-2.89, 1 H 2.87
K  0.7289  0.9482  0.5963  6 O 2.68-2.89, 1 H 2.87
K  0.2733  0.5518  0.9037  6 O 2.68-2.89, 1 H 2.87
K  0.0134  0.0283  0.8539  5 O 2.70-2.84, 1 H 2.99
K  0.8956  0.4717  0.6461  5 O 2.70-2.84, 1 H 2.99
K  0.9866  0.9717  0.1461  5 O 2.70-2.84, 1 H 2.99
K  0.1044  0.5283  0.3539  5 O 2.70-2.84, 1 H 2.99
K  0.1910  0.2669  0.9694  1 H 2.62, 6 O 2.65-2.90
K  0.4273  0.2331  0.5306  1 H 2.62, 6 O 2.65-2.90
K  0.8090  0.7331  0.0306  1 H 2.62, 6 O 2.65-2.90
K  0.5727  0.7669  0.4694  1 H 2.62, 6 O 2.65-2.90
B  0.8910  0.3058  0.3561  4 O 1.46-1.48
B  0.5529  0.1942  0.1439  4 O 1.46-1.48
B  0.1090  0.6942  0.6439  4 O 1.46-1.48
B  0.4471  0.8058  0.8561  4 O 1.46-1.48
P  0.2615  0.8333  0.6919  4 O 1.51-1.58
P  0.7867  0.6667  0.8081  4 O 1.51-1.58
P  0.7385  0.1667  0.3081  4 O 1.51-1.58
P  0.2133  0.3333  0.1919  4 O 1.51-1.58
P  0.9699  0.2239  0.5649  4 O 1.50-1.59
P  0.7586  0.2761  0.9351  4 O 1.50-1.59
P  0.0301  0.7761  0.4351  4 O 1.50-1.59
P  0.2414  0.7239  0.0649  4 O 1.50-1.59
P  0.3606  0.4879  0.6620  4 O 1.52-1.58
P  0.5106  0.0121  0.8380  4 O 1.52-1.58
P  0.6394  0.5121  0.3380  4 O 1.52-1.58
P  0.4894  0.9879  0.1620  4 O 1.52-1.58
H  0.3523  0.0627  0.9759  1 O 1.05
H  0.3909  0.4373  0.5241  1 O 1.05
H  0.6477  0.9373  0.0241  1 O 1.05
H  0.6091  0.5627  0.4759  1 O 1.05
H  0.1071  0.0277  0.6273  2 O 1.15-1.28
H  0.7621  0.4723  0.8727  2 O 1.15-1.28
H  0.8929  0.9723  0.3727  2 O 1.15-1.28
H  0.2379  0.5277  0.1273  2 O 1.15-1.28
H  0.7159  0.1468  0.6940  1 O 1.09
H  0.5567  0.3532  0.8060  1 O 1.09
H  0.2841  0.8532  0.3060  1 O 1.09
H  0.4433  0.6468  0.1940  1 O 1.09
O  0.3342  0.0484  0.0903  1 H 1.46, 1 P 1.52
O  0.4728  0.4516  0.4097  1 H 1.46, 1 P 1.52
O  0.6658  0.9516  0.9097  1 H 1.46, 1 P 1.52
O  0.5272  0.5484  0.5903  1 H 1.46, 1 P 1.52
O  0.0923  0.8302  0.0330  1 P 1.50
O  0.9555  0.6698  0.4670  1 P 1.50
O  0.9077  0.1698  0.9670  1 P 1.50
O  0.0445  0.3302  0.5330  1 P 1.50
O  0.0773  0.9242  0.6807  1 H 1.28
O  0.6822  0.5758  0.8193  1 H 1.28
O  0.9227  0.0758  0.3193  1 H 1.28
O  0.3178  0.4242  0.1807  1 H 1.28
O  0.0986  0.3774  0.1004  1 P 1.51
O  0.5765  0.1226  0.3996  1 P 1.51
O  0.9014  0.6226  0.8996  1 P 1.51
O  0.4235  0.8774  0.6004  1 P 1.51
O  0.8298  0.1921  0.6773  1 H 1.09
O  0.6992  0.3079  0.8227  1 H 1.09
O  0.1702  0.8079  0.3227  1 H 1.09
O  0.3008  0.6921  0.1773  1 H 1.09
O  0.3267  0.4134  0.6087  1 H 1.05
O  0.3488  0.0866  0.8913  1 H 1.05
O  0.6733  0.5866  0.3913  1 H 1.05
O  0.6512  0.9134  0.1087  1 H 1.05
O  0.0948  0.2847  0.3137  1 B 1.47, 1 P 1.58
O  0.6932  0.2153  0.1863  1 B 1.47, 1 P 1.58
O  0.9052  0.7153  0.6863  1 B 1.47, 1 P 1.58
O  0.3068  0.7847  0.8137  1 B 1.47, 1 P 1.58
O  0.2228  0.7201  0.6981  1 B 1.46, 1 P 1.58
O  0.6409  0.7799  0.8019  1 B 1.46, 1 P 1.58
O  0.7772  0.2799  0.3019  1 B 1.46, 1 P 1.58
O  0.3591  0.2201  0.1981  1 B 1.46, 1 P 1.58
O  0.8572  0.2327  0.4773  1 B 1.48, 1 P 1.59
O  0.5672  0.2673  0.0227  1 B 1.48, 1 P 1.59
O  0.1428  0.7673  0.5227  1 B 1.48, 1 P 1.59
O  0.4328  0.7327  0.9773  1 B 1.48, 1 P 1.59
O  0.1655  0.5714  0.6667  1 B 1.47, 1 P 1.57
O  0.4036  0.9286  0.8333  1 B 1.47, 1 P 1.57
O  0.8345  0.4286  0.3333  1 B 1.47, 1 P 1.57
O  0.5964  0.0714  0.1667  1 B 1.47, 1 P 1.57
O  0.4204  0.9120  0.2838  1 H 1.34
O  0.6163  0.5880  0.2162  1 H 1.34
O  0.5796  0.0880  0.7162  1 H 1.34
O  0.3837  0.4120  0.7838  1 H 1.34
O  0.1643  0.6194  0.0779  1 H 1.15
O  0.8616  0.8806  0.4221  1 H 1.15
O  0.8357  0.3806  0.9221  1 H 1.15
O  0.1384  0.1194  0.5779  1 H 1.15

***

Record 2
Material: KVBP2HO9
Method: DFT, SCAN
State: single point on PBEsol structure

Values from the calculation:
Total magnetization = 4.00 Bohr magnetons per cell
E = -301.4 eV per cell
Space-group type = No. 2
Volume = 343.5 Å³/cell

Cell: 5.1799 8.0704 8.3566 Å, 87.21 80.40 86.30°
With the nearest neighbours (Å) after each atom.
Sites, in units of the cell vectors:
K  0.2790  0.6769  0.8899  10 O 2.79-3.09
K  0.7210  0.3231  0.1101  10 O 2.79-3.09
V  0.2662  0.1996  0.8108  6 O 1.95-2.06
V  0.7338  0.8004  0.1892  6 O 1.95-2.06
B  0.8729  0.7357  0.5521  4 O 1.46-1.48
B  0.1271  0.2643  0.4479  4 O 1.46-1.48
P  0.7832  0.9403  0.8143  4 O 1.52-1.57
P  0.2168  0.0597  0.1857  4 O 1.52-1.57
P  0.1978  0.5803  0.3005  4 O 1.52-1.56
P  0.8022  0.4197  0.6995  4 O 1.52-1.56
H  0.5197  0.8254  0.4890  1 O 0.98
H  0.4803  0.1746  0.5110  1 O 0.98
O  0.4465  0.6439  0.2002  1 P 1.52
O  0.5535  0.3561  0.7998  1 P 1.52
O  0.7027  0.8048  0.4381  1 H 0.98
O  0.2973  0.1952  0.5619  1 H 0.98
O  0.9395  0.8595  0.6577  1 B 1.46, 1 P 1.57
O  0.0605  0.1405  0.3423  1 B 1.46, 1 P 1.57
O  0.7583  0.8028  0.9504  1 P 1.55
O  0.2417  0.1972  0.0496  1 P 1.55
O  0.0319  0.4096  0.7950  1 P 1.54
O  0.9681  0.5904  0.2050  1 P 1.54
O  0.2711  0.3956  0.3462  1 B 1.48, 1 P 1.56
O  0.7289  0.6044  0.6538  1 B 1.48, 1 P 1.56
O  0.5068  0.0013  0.7844  1 P 1.54
O  0.4932  0.9987  0.2156  1 P 1.54
O  0.1255  0.6757  0.4616  1 B 1.46, 1 P 1.56
O  0.8745  0.3243  0.5384  1 B 1.46, 1 P 1.56
O  0.0567  0.9187  0.1497  1 P 1.52
O  0.9433  0.0813  0.8503  1 P 1.52

***

Record 3
Material: KScB4H16
Method: DFT, SCAN
State: single point on PBEsol structure

Values from the calculation:
Total magnetization = 0.00 Bohr magnetons per cell
E = -459.8 eV per cell
Space-group type = No. 62
Volume = 894.0 Å³/cell

Cell: 8.3694 8.7997 12.1388 Å, 90.00 90.00 90.00°
With the nearest neighbours (Å) after each atom.
Sites, in units of the cell vectors:
K  0.2500  0.6272  0.0976  6 H 2.60-2.87
K  0.7500  0.1272  0.4024  6 H 2.60-2.87
K  0.2500  0.8728  0.5976  6 H 2.60-2.87
K  0.7500  0.3728  0.9024  6 H 2.60-2.87
Sc  0.2500  0.1639  0.0500  12 H 2.11-2.18, 4 B 2.27-2.30
Sc  0.7500  0.6639  0.4500  12 H 2.11-2.18, 4 B 2.27-2.30
Sc  0.2500  0.3361  0.5500  12 H 2.11-2.18, 4 B 2.27-2.30
Sc  0.7500  0.8361  0.9500  12 H 2.11-2.18, 4 B 2.27-2.30
B  0.2500  0.9659  0.1722  4 H 1.21-1.25
B  0.7500  0.4659  0.3278  4 H 1.21-1.25
B  0.2500  0.5341  0.6722  4 H 1.21-1.25
B  0.7500  0.0341  0.8278  4 H 1.21-1.25
B  0.2500  0.4284  0.3753  4 H 1.20-1.25
B  0.7500  0.9284  0.1247  4 H 1.20-1.25
B  0.2500  0.0716  0.8753  4 H 1.20-1.25
B  0.7500  0.5716  0.6247  4 H 1.20-1.25
B  0.0281  0.3144  0.0769  4 H 1.21-1.25
B  0.9719  0.8144  0.4231  4 H 1.21-1.25
B  0.4719  0.1856  0.5769  4 H 1.21-1.25
B  0.5281  0.6856  0.9231  4 H 1.21-1.25
B  0.9719  0.6856  0.9231  4 H 1.21-1.25
B  0.0281  0.1856  0.5769  4 H 1.21-1.25
B  0.5281  0.8144  0.4231  4 H 1.21-1.25
B  0.4719  0.3144  0.0769  4 H 1.21-1.25
H  0.9925  0.1811  0.0543  1 B 1.24
H  0.0075  0.6811  0.4457  1 B 1.24
H  0.5075  0.3189  0.5543  1 B 1.24
H  0.4925  0.8189  0.9457  1 B 1.24
H  0.0075  0.8189  0.9457  1 B 1.24
H  0.9925  0.3189  0.5543  1 B 1.24
H  0.4925  0.6811  0.4457  1 B 1.24
H  0.5075  0.1811  0.0543  1 B 1.24
H  0.1142  0.3088  0.1599  1 B 1.24
H  0.8858  0.8088  0.3401  1 B 1.24
H  0.3858  0.1912  0.6599  1 B 1.24
H  0.6142  0.6912  0.8401  1 B 1.24
H  0.8858  0.6912  0.8401  1 B 1.24
H  0.1142  0.1912  0.6599  1 B 1.24
H  0.6142  0.8088  0.3401  1 B 1.24
H  0.3858  0.3088  0.1599  1 B 1.24
H  0.2500  0.8619  0.2370  1 B 1.21
H  0.7500  0.3619  0.2630  1 B 1.21
H  0.2500  0.6381  0.7370  1 B 1.21
H  0.7500  0.1381  0.7630  1 B 1.21
H  0.3689  0.9650  0.1104  1 B 1.25
H  0.6311  0.4650  0.3896  1 B 1.25
H  0.1311  0.5350  0.6104  1 B 1.25
H  0.8689  0.0350  0.8896  1 B 1.25
H  0.6311  0.0350  0.8896  1 B 1.25
H  0.3689  0.5350  0.6104  1 B 1.25
H  0.8689  0.4650  0.3896  1 B 1.25
H  0.1311  0.9650  0.1104  1 B 1.25
H  0.2500  0.0906  0.2197  1 B 1.24
H  0.7500  0.5906  0.2803  1 B 1.24
H  0.2500  0.4094  0.7197  1 B 1.24
H  0.7500  0.9094  0.7803  1 B 1.24
H  0.3681  0.4686  0.4305  1 B 1.25
H  0.6319  0.9686  0.0695  1 B 1.25
H  0.1319  0.0314  0.9305  1 B 1.25
H  0.8681  0.5314  0.5695  1 B 1.25
H  0.6319  0.5314  0.5695  1 B 1.25
H  0.3681  0.0314  0.9305  1 B 1.25
H  0.8681  0.9686  0.0695  1 B 1.25
H  0.1319  0.4686  0.4305  1 B 1.25
H  0.9126  0.3935  0.0933  1 B 1.21
H  0.0874  0.8935  0.4067  1 B 1.21
H  0.5874  0.1065  0.5933  1 B 1.21
H  0.4126  0.6065  0.9067  1 B 1.21
H  0.0874  0.6065  0.9067  1 B 1.21
H  0.9126  0.1065  0.5933  1 B 1.21
H  0.4126  0.8935  0.4067  1 B 1.21
H  0.5874  0.3935  0.0933  1 B 1.21
H  0.2500  0.2874  0.3743  1 B 1.24
H  0.7500  0.7874  0.1257  1 B 1.24
H  0.2500  0.2126  0.8743  1 B 1.24
H  0.7500  0.7126  0.6257  1 B 1.24
H  0.2500  0.4842  0.2849  1 B 1.20
H  0.7500  0.9842  0.2151  1 B 1.20
H  0.2500  0.0158  0.7849  1 B 1.20
H  0.7500  0.5158  0.7151  1 B 1.20
H  0.1117  0.3610  0.9991  1 B 1.25
H  0.8883  0.8610  0.5009  1 B 1.25
H  0.3883  0.1390  0.4991  1 B 1.25
H  0.6117  0.6390  0.0009  1 B 1.25
H  0.8883  0.6390  0.0009  1 B 1.25
H  0.1117  0.1390  0.4991  1 B 1.25
H  0.6117  0.8610  0.5009  1 B 1.25
H  0.3883  0.3610  0.9991  1 B 1.25

***

Record 4
Material: LaB2H
Method: DFT, SCAN
State: single point on PBEsol structure

Values from the calculation:
Total magnetization = 0.00 Bohr magnetons per cell
E = -122.8 eV per cell
Space-group type = No. 141
Volume = 98.7 Å³/cell

Cell: 3.2406 3.2406 9.6780 Å, 99.64 99.64 90.00°
With the nearest neighbours (Å) after each atom.
Sites, in units of the cell vectors:
H  0.5000  0.5000  0.0000  4 La 2.29, 4 B 2.49
H  0.7500  0.2500  0.5000  4 La 2.29, 4 B 2.49
B  0.6250  0.3750  0.7500  2 B 1.62
B  0.1250  0.3750  0.7500  2 B 1.62
B  0.6250  0.8750  0.2500  2 B 1.62
B  0.6250  0.3750  0.2500  2 B 1.62
La  0.0000  0.0000  0.0000  4 H 2.29
La  0.2500  0.7500  0.5000  4 H 2.29

***

Record 5
Material: LaB2HN
Method: DFT, SCAN
State: single point on PBEsol structure

Values from the calculation:
Total magnetization = 0.25 Bohr magnetons per cell
E = -58.7 eV per cell
Space-group type = No. 123
Volume = 115.6 Å³/cell

Cell: 4.1830 5.2566 5.2566 Å, 90.00 90.00 90.00°
With the nearest neighbours (Å) after each atom.
Sites, in units of the cell vectors:
H  0.5000  0.5000  0.5000  8 B 3.36, 4 N 3.72
B  0.0000  0.0000  0.5000  2 La 2.63
B  0.0000  0.5000  0.0000  2 La 2.63
La  0.0000  0.0000  0.0000  2 N 2.09
N  0.5000  0.0000  0.0000  2 La 2.09

***

Record 6
Material: LiB3H8
Method: DFT, SCAN
State: single point on PBEsol structure

Values from the calculation:
Total magnetization = 0.00 Bohr magnetons per cell
E = -109.9 eV per cell
Space-group type = No. 63
Volume = 190.4 Å³/cell

Cell: 5.7131 5.7944 5.7944 Å, 97.05 90.00 90.00°
With the nearest neighbours (Å) after each atom.
Sites, in units of the cell vectors:
H  0.7500  0.8178  0.9152  1 B 1.21
H  0.2500  0.9152  0.8178  1 B 1.21
H  0.9801  0.7796  0.4915  1 B 1.22
H  0.0199  0.4915  0.7796  1 B 1.22
H  0.4801  0.4915  0.7796  1 B 1.22
H  0.5199  0.7796  0.4915  1 B 1.22
H  0.7500  0.0848  0.1822  1 B 1.21
H  0.2500  0.1822  0.0848  1 B 1.21
H  0.4801  0.2204  0.5085  1 B 1.22
H  0.5199  0.5085  0.2204  1 B 1.22
H  0.9801  0.5085  0.2204  1 B 1.22
H  0.0199  0.2204  0.5085  1 B 1.22
H  0.9939  0.8327  0.1673  1 B 1.27
H  0.0061  0.1673  0.8327  1 B 1.27
H  0.4939  0.1673  0.8327  1 B 1.27
H  0.5061  0.8327  0.1673  1 B 1.27
B  0.7500  0.8765  0.1235  2 H 1.21
B  0.2500  0.1235  0.8765  2 H 1.21
B  0.9042  0.6991  0.3009  3 H 1.22-1.27
B  0.0958  0.3009  0.6991  3 H 1.22-1.27
B  0.4042  0.3009  0.6991  3 H 1.22-1.27
B  0.5958  0.6991  0.3009  3 H 1.22-1.27
Li  0.7500  0.4396  0.5604  4 H 2.00
Li  0.2500  0.5604  0.4396  4 H 2.00